Record 1
Compound: PuHg2RhO6
Source: Alexandria via LeMat-Bulk
Functional: PBE-GGA
Structure: relaxed

abc: 5.6821 5.6821 14.3274
angles: 90.00 90.00 120.00
Closest atoms and distances in Å follow each position.
Space group R-3 (No. 148, hexagonal axes)
One atom of each set of equivalent atoms:
Pu 0.0000 0.0000 0.0000 x3  6 O 2.18
Hg 0.0000 0.0000 0.2452 x6  3 O 2.27
Rh 0.0000 0.0000 0.5000 x3  6 O 2.03
O 0.0127 0.6063 0.2467 x18  1 Rh 2.03, 1 Pu 2.18, 1 Hg 2.27

Computed properties:
* uncorrected formation energy: -1197 meV/atom

Record 2
Compound: TmMnAl
Source: Alexandria via LeMat-Bulk
Functional: PBE-GGA
Structure: relaxed

abc: 5.4146 5.4469 7.5128
angles: 90.00 90.00 90.00
Closest atoms and distances in Å follow each position.
Space group Imma (No. 74)
One atom of each set of equivalent atoms:
Tm 0.0000 0.2500 0.1196 x4  6 Mn 3.09-3.20, 6 Al 3.16-3.17, 4 Tm 3.26-3.34
Mn 0.2500 0.2500 0.7500 x4  4 Al 2.69, 2 Mn 2.71
Al 0.0000 0.0000 0.5000 x4  4 Mn 2.69, 2 Al 2.72

Computed properties:
* formation enthalpy at 0 K: -0.258 eV per atom

Number 1: final energy -6.4007 eV per atom. Number 2: final energy -6.0529 eV per atom.